(1)
Crystalline Ce3NiH6 at its relaxed geometry, computed with GGA-PBE.

Cell lengths 7.4235, 7.4235, 4.7845 Å; angles 90.00, 90.00, 100.77 degrees
Fractional coordinates of all 20 atoms:
Ce 0.1220 0.8780 0.5000
Ce 0.1874 0.4145 0.5106
Ce 0.4145 0.1874 0.0106
Ce 0.5855 0.8126 0.5106
Ce 0.8126 0.5855 0.0106
Ce 0.8780 0.1220 0.0000
Ni 0.3154 0.6846 0.0422
Ni 0.6846 0.3154 0.5422
H 0.1101 0.6272 0.1967
H 0.1429 0.1465 0.2590
H 0.1465 0.1429 0.7590
H 0.3041 0.6959 0.7084
H 0.3728 0.8899 0.1967
H 0.4475 0.5525 0.1691
H 0.5525 0.4475 0.6691
H 0.6272 0.1101 0.6967
H 0.6959 0.3041 0.2084
H 0.8535 0.8571 0.2590
H 0.8571 0.8535 0.7590
H 0.8899 0.3728 0.6967

- Space-group type: Cmc2_1 (36)

(2)
Crystalline Be2VI at its relaxed geometry, computed with GGA-PBE.

Cell lengths 7.0131, 7.0131, 5.4390 Å; angles 90.00, 90.00, 90.00 degrees
Fractional coordinates of all 16 atoms:
Be 0.2479 0.2500 0.1250
Be 0.2500 0.7479 0.3750
Be 0.2500 0.7521 0.8750
Be 0.2521 0.2500 0.6250
Be 0.7479 0.7500 0.6250
Be 0.7500 0.2479 0.8750
Be 0.7500 0.2521 0.3750
Be 0.7521 0.7500 0.1250
V 0.0000 0.0000 0.5000
V 0.0000 0.5000 0.7500
V 0.5000 0.0000 0.2500
V 0.5000 0.5000 0.0000
I 0.0000 0.0000 0.0000
I 0.0000 0.5000 0.2500
I 0.5000 0.0000 0.7500
I 0.5000 0.5000 0.5000

- Space-group type: I-42d (122)
- Distance to the lowest polymorph of the same formula: 0.00 kJ per mole of atoms
- Formation energy from raw total energies: 24.31 kcal/mol of atoms

(3)
Crystalline POs2Cl at its relaxed geometry, computed with GGA-PBE.

Cell lengths 2.8545, 3.5114, 7.4100 Å; angles 90.00, 90.00, 90.00 degrees
Fractional coordinates of all 4 atoms:
P 0.0000 0.0000 0.0000
Os 0.0000 0.0000 0.6699
Os 0.5000 0.5000 0.8538
Cl 0.5000 0.5000 0.4286

- Space-group type: Pmm2 (25)
- Distance to the lowest polymorph of the same formula: 30.54 kJ per mole of atoms
- Formation energy from raw total energies: 12.44 kcal/mol of atoms

(4)
Crystalline AgSb2Os at its relaxed geometry, computed with GGA-PBE.

Cell lengths 3.3680, 4.7088, 5.3443 Å; angles 90.00, 108.36, 90.00 degrees
Fractional coordinates of all 4 atoms:
Ag 0.0000 0.0000 0.0000
Sb 0.4544 0.5000 0.8997
Sb 0.7322 0.0000 0.4639
Os 0.1740 0.5000 0.3397

- Space-group type: Pm (6)
- Distance to the lowest polymorph of the same formula: 11.00 kJ per mole of atoms
- Formation energy from raw total energies: 9.99 kcal/mol of atoms

(5)
Crystalline Cs2SmAg2Te4 at its relaxed geometry, computed with GGA-PBE.

Cell lengths 8.6671, 8.6671, 9.2023 Å; angles 107.13, 107.13, 30.14 degrees
Fractional coordinates of all 9 atoms:
Cs 0.1321 0.1321 0.0623
Cs 0.8679 0.8679 0.9377
Sm 0.0000 0.0000 0.5000
Ag 0.3205 0.3205 0.5182
Ag 0.6795 0.6795 0.4818
Te 0.1959 0.1959 0.6792
Te 0.4847 0.4847 0.7300
Te 0.5153 0.5153 0.2700
Te 0.8041 0.8041 0.3208

- Space-group type: C2/m (12)
- Formation energy from raw total energies: -20.03 kcal/mol of atoms

(6)
Crystalline Ti2FeRhC at its relaxed geometry, computed with GGA-PBE.

Cell lengths 4.1844, 4.1844, 3.6519 Å; angles 90.00, 90.00, 90.00 degrees
Fractional coordinates of all 5 atoms:
Ti 0.0000 0.5000 0.0000
Ti 0.5000 0.0000 0.0000
Fe 0.0000 0.0000 0.5000
Rh 0.5000 0.5000 0.5000
C 0.0000 0.0000 0.0000

- Formation energy from the elements: -0.4577 eV/atom
- Space-group type: P4/mmm (123)

(7)
Crystalline KBa2Hg at its relaxed geometry, computed with GGA-PBE.

Cell lengths 5.4080, 5.4080, 13.0017 Å; angles 90.00, 90.00, 90.00 degrees
Fractional coordinates of all 8 atoms:
K 0.0000 0.0000 0.0000
K 0.5000 0.5000 0.5000
Ba 0.0000 0.0000 0.5000
Ba 0.0000 0.5000 0.7500
Ba 0.5000 0.0000 0.2500
Ba 0.5000 0.5000 0.0000
Hg 0.0000 0.5000 0.2500
Hg 0.5000 0.0000 0.7500

- Formation energy from the elements: -0.0119 eV/atom
- Space-group type: I-4m2 (119)

(8)
Crystalline Tl3Pb4 at its relaxed geometry, computed with GGA-PBE.

Cell lengths 3.5148, 3.5148, 35.6131 Å; angles 90.00, 90.00, 90.00 degrees
Fractional coordinates of all 14 atoms:
Tl 0.0000 0.0000 0.0000
Tl 0.0000 0.0000 0.2867
Tl 0.0000 0.0000 0.7133
Tl 0.5000 0.5000 0.2133
Tl 0.5000 0.5000 0.5000
Tl 0.5000 0.5000 0.7867
Pb 0.0000 0.0000 0.1419
Pb 0.0000 0.0000 0.4275
Pb 0.0000 0.0000 0.5725
Pb 0.0000 0.0000 0.8581
Pb 0.5000 0.5000 0.0725
Pb 0.5000 0.5000 0.3581
Pb 0.5000 0.5000 0.6419
Pb 0.5000 0.5000 0.9275

- Formation energy from the elements: -0.0174 eV/atom
- Space-group type: I4/mmm (139)
- Distance to the lowest polymorph of the same formula: 0.00 kJ per mole of atoms

(9)
Crystalline Tb2SmDy6Sc3 at its relaxed geometry, computed with GGA-PBE.

Cell lengths 6.0518, 6.0518, 11.4770 Å; angles 95.03, 95.03, 119.96 degrees
Fractional coordinates of all 12 atoms:
Tb 0.1666 0.8334 0.0000
Tb 0.8334 0.1666 0.0000
Sm 0.5000 0.5000 0.0000
Dy 0.0794 0.4129 0.7400
Dy 0.2534 0.2534 0.2600
Dy 0.4129 0.0794 0.7400
Dy 0.5871 0.9206 0.2600
Dy 0.7466 0.7466 0.7400
Dy 0.9206 0.5871 0.2600
Sc 0.0000 0.0000 0.5000
Sc 0.3333 0.6667 0.5000
Sc 0.6667 0.3333 0.5000

- Formation energy from the elements: 0.0437 eV/atom
- Space-group type: C2/m (12)

(10)
Crystalline BeNbRh at its relaxed geometry, computed with GGA-PBE.

Cell lengths 4.7641, 5.7582, 5.8066 Å; angles 90.00, 90.00, 90.00 degrees
Fractional coordinates of all 12 atoms:
Be 0.0000 0.0000 0.0000
Be 0.0000 0.5000 0.5000
Be 0.5000 0.0000 0.0000
Be 0.5000 0.5000 0.5000
Nb 0.2500 0.1525 0.6490
Nb 0.2500 0.3475 0.1490
Nb 0.7500 0.6525 0.1490
Nb 0.7500 0.8475 0.6490
Rh 0.2500 0.6633 0.8199
Rh 0.2500 0.8367 0.3199
Rh 0.7500 0.1633 0.3199
Rh 0.7500 0.3367 0.8199

- Formation energy from the elements: -0.4654 eV/atom
- Space-group type: Ima2 (46)
- Distance to the lowest polymorph of the same formula: 1.02 kJ per mole of atoms

(11)
Crystalline U3SnSe8 at its relaxed geometry, computed with GGA-PBE.

Cell lengths 8.3105, 8.3105, 13.2231 Å; angles 90.00, 90.00, 120.00 degrees
Fractional coordinates of all 24 atoms:
U 0.1660 0.3321 0.0000
U 0.1660 0.8340 0.0000
U 0.3321 0.1660 0.5000
U 0.6679 0.8340 0.0000
U 0.8340 0.1660 0.5000
U 0.8340 0.6679 0.5000
Sn 0.3333 0.6667 0.2461
Sn 0.6667 0.3333 0.7461
Se 0.0000 0.0000 0.1141
Se 0.0000 0.0000 0.6141
Se 0.0184 0.5092 0.1173
Se 0.1571 0.3141 0.3911
Se 0.1571 0.8429 0.3911
Se 0.3141 0.1571 0.8911
Se 0.3333 0.6667 0.8871
Se 0.4908 0.5092 0.1173
Se 0.4908 0.9816 0.1173
Se 0.5092 0.0184 0.6173
Se 0.5092 0.4908 0.6173
Se 0.6667 0.3333 0.3871
Se 0.6859 0.8429 0.3911
Se 0.8429 0.1571 0.8911
Se 0.8429 0.6859 0.8911
Se 0.9816 0.4908 0.6173

- Space-group type: P6_3mc (186)
- Formation energy from raw total energies: -21.64 kcal/mol of atoms

(12)
Crystalline ZrTe2Br at its relaxed geometry, computed with GGA-PBE.

Cell lengths 4.8679, 4.8679, 8.5344 Å; angles 90.00, 90.00, 90.00 degrees
Fractional coordinates of all 8 atoms:
Zr 0.0000 0.0000 0.0000
Zr 0.5000 0.5000 0.5000
Te 0.0000 0.5000 0.2500
Te 0.0000 0.5000 0.7500
Te 0.5000 0.0000 0.2500
Te 0.5000 0.0000 0.7500
Br 0.0000 0.0000 0.5000
Br 0.5000 0.5000 0.0000

- Space-group type: I4/mmm (139)
- Distance to the lowest polymorph of the same formula: 49.26 kJ per mole of atoms
- Formation energy from raw total energies: -5.27 kcal/mol of atoms

For reference, M_tot by record: 3.3 2.6 0.0 0.0 0.0 0.0 0.7 0.0 0.0 0.0 4.0 0.0 μB per formula unit.
For reference, calculated total energy by record: -4.729 -3.476 -6.889 -5.148 -3.613 -8.623 -1.323 -3.151 -5.005 -7.515 -6.417 -4.355 eV per atom.